Record 1
Below is a relaxed RbTiIn crystal, with properties calculated at the PBE-GGA level.

Results
Total moment ... 1.53 μB per formula unit
ΔH_f (0 K) ... 476 meV per atom
DOS(E_F) ... 3.39 states/eV per cell

a b c (Å): 5.478 5.478 7.626
angles (deg): 90.00 90.00 90.00
Space group P4/nmm (No. 129, origin choice 2)
Symmetry-distinct sites (fractional):
Rb 0.250 0.250 0.118 (multiplicity 2)
Ti 0.250 0.250 0.574 (multiplicity 2)
In 0.250 0.750 0.500 (multiplicity 2)

***

Record 2
Below is a relaxed RbTiIn crystal, with properties calculated at the PBE-GGA level.

Results
Total moment ... 0.85 μB per formula unit
ΔH_f (0 K) ... 384 meV per atom
DOS(E_F) ... 8.26 states/eV per cell

a b c (Å): 3.215 19.240 6.317
angles (deg): 90.00 90.00 90.00
Space group Amm2 (No. 38)
Symmetry-distinct sites (fractional):
Rb 0.000 0.183 0.000 (multiplicity 4)
Ti 0.000 0.000 0.395 (multiplicity 2)
Ti 0.500 0.000 0.745 (multiplicity 2)
In 0.500 0.125 0.497 (multiplicity 4)

***

Record 3
Below is a relaxed RbTiIn crystal, with properties calculated at the PBE-GGA level.

Results
Total moment ... 0.00 μB per formula unit
ΔH_f (0 K) ... 232 meV per atom
DOS(E_F) ... 6.66 states/eV per cell

a b c (Å): 3.363 4.309 14.375
angles (deg): 89.45 87.82 81.17
Space group P1 (No. 1)
Symmetry-distinct sites (fractional):
Rb 0.000 0.000 0.000 (multiplicity 1)
Rb 0.384 0.491 0.681 (multiplicity 1)
Ti 0.446 0.996 0.320 (multiplicity 1)
Ti 0.940 0.495 0.361 (multiplicity 1)
In 0.469 0.497 0.182 (multiplicity 1)
In 0.913 0.994 0.499 (multiplicity 1)

***

Record 4
Below is a relaxed RbTiIn crystal, with properties calculated at the PBE-GGA level.

Results
Total moment ... 1.03 μB per formula unit
ΔH_f (0 K) ... 233 meV per atom
DOS(E_F) ... 2.09 states/eV per cell

a b c (Å): 4.075 5.171 12.392
angles (deg): 78.18 88.18 66.82
Space group P1 (No. 1)
Symmetry-distinct sites (fractional):
Rb 0.000 0.000 0.000 (multiplicity 1)
Rb 0.409 0.308 0.349 (multiplicity 1)
Ti 0.357 0.342 0.705 (multiplicity 1)
Ti 0.744 0.593 0.579 (multiplicity 1)
In 0.045 0.983 0.621 (multiplicity 1)
In 0.672 0.694 0.802 (multiplicity 1)

***

Record 5
Below is a relaxed RbTiIn crystal, with properties calculated at the PBE-GGA level.

Results
Total moment ... 2.06 μB per formula unit
ΔH_f (0 K) ... 340 meV per atom
DOS(E_F) ... 6.40 states/eV per cell

a b c (Å): 13.768 5.964 5.024
angles (deg): 90.00 90.00 90.00
Space group Pnma (No. 62)
Symmetry-distinct sites (fractional):
Rb 0.232 0.250 0.004 (multiplicity 4)
Ti 0.025 0.750 0.000 (multiplicity 4)
In 0.000 0.000 0.500 (multiplicity 4)

***

Record 6
Below is a relaxed RbTiIn crystal, with properties calculated at the PBE-GGA level.

Results
Total moment ... 2.01 μB per formula unit
ΔH_f (0 K) ... 657 meV per atom
DOS(E_F) ... 1.58 states/eV per cell

a b c (Å): 5.4014 5.4014 8.5217
angles (deg): 90.00 90.00 120.00
Space group P-6m2 (No. 187)
Symmetry-distinct sites (fractional):
Rb 0.0000 0.0000 0.0000 (multiplicity 1)
Rb 0.0000 0.0000 0.5000 (multiplicity 1)
Ti 0.3333 0.6667 0.1521 (multiplicity 2)
In 0.6667 0.3333 0.1880 (multiplicity 2)

***

| no. | E above lowest polymorph (meV per atom) |
| --- | --- |
| 1 | 376 |
| 2 | 283 |
| 3 | 131 |
| 4 | 132 |
| 5 | 239 |
| 6 | 556 |